[1]
Compound: YHo3Co
Source: the Alexandria database
Functional: PBE
Structure: relaxed

Crystal system ... monoclinic
N(E_F) ... 6.81 states/eV/f.u.
Size of the total moment ... 0.00 Bohr magnetons per cell
ΔE_f ... -0.03 eV/atom
ΔE to the lowest computed polymorph ... 81 meV per atom

CIF file:
```
data_YHo3Co
_cell_length_a 7.7343
_cell_length_b 7.2852
_cell_length_c 9.9114
_cell_angle_alpha 90.00
_cell_angle_beta 106.85
_cell_angle_gamma 90.00
_space_group_name_H-M_alt 'P 1 21/c 1'
_space_group_IT_number 14
_space_group_name_Hall '-P 2ybc'
loop_
_atom_site_label
_atom_site_type_symbol
_atom_site_fract_x
_atom_site_fract_y
_atom_site_fract_z
Y1 Y 0.1857 0.0560 0.2530
Ho1 Ho 0.0872 0.6997 0.0332
Ho2 Ho 0.2909 0.5067 0.3844
Ho3 Ho 0.4186 0.1279 0.6077
Co1 Co 0.4539 0.7452 0.6091
```



[2]
Compound: YHo2Co6
Source: the Alexandria database
Functional: PBE
Structure: relaxed

Crystal system ... hexagonal
N(E_F) ... 6.77 states/eV/f.u.
Size of the total moment ... 4.37 Bohr magnetons per cell
ΔE_f ... -0.19 eV/atom

CIF file:
```
data_YHo2Co6
_cell_length_a 6.6502
_cell_length_b 6.6502
_cell_length_c 4.0253
_cell_angle_alpha 90.00
_cell_angle_beta 90.00
_cell_angle_gamma 120.00
_space_group_name_H-M_alt 'P 6/m m m'
_space_group_IT_number 191
_space_group_name_Hall '-P 6 2'
loop_
_atom_site_label
_atom_site_type_symbol
_atom_site_fract_x
_atom_site_fract_y
_atom_site_fract_z
Y1 Y 0.0000 0.0000 0.0000
Ho1 Ho 0.3333 0.6667 0.0000
Co1 Co 0.0000 0.3339 0.5000
```



[3]
Compound: Y3Ho2Co2
Source: the Alexandria database
Functional: PBE
Structure: relaxed

Crystal system ... monoclinic
N(E_F) ... 7.36 states/eV/f.u.
Size of the total moment ... 0.00 Bohr magnetons per cell
ΔE_f ... -0.15 eV/atom

CIF file:
```
data_Y3Ho2Co2
_cell_length_a 11.9979
_cell_length_b 3.6491
_cell_length_c 8.8607
_cell_angle_alpha 90.00
_cell_angle_beta 115.83
_cell_angle_gamma 90.00
_space_group_name_H-M_alt 'C 1 2/m 1'
_space_group_IT_number 12
_space_group_name_Hall '-C 2y'
loop_
_atom_site_label
_atom_site_type_symbol
_atom_site_fract_x
_atom_site_fract_y
_atom_site_fract_z
Y1 Y 0.0000 0.0000 0.0000
Y2 Y 0.1171 0.0000 0.4265
Ho1 Ho 0.1736 0.5000 0.8056
Co1 Co 0.1801 0.5000 0.2401
```



[4]
Compound: YHo4Co2
Source: the Alexandria database
Functional: PBE
Structure: relaxed

Crystal system ... monoclinic
N(E_F) ... 7.97 states/eV/f.u.
Size of the total moment ... 0.00 Bohr magnetons per cell
ΔE_f ... -0.07 eV/atom

CIF file:
```
data_YHo4Co2
_cell_length_a 7.5771
_cell_length_b 6.3170
_cell_length_c 7.7651
_cell_angle_alpha 90.00
_cell_angle_beta 113.02
_cell_angle_gamma 90.00
_space_group_name_H-M_alt 'P 1 21/m 1'
_space_group_IT_number 11
_space_group_name_Hall '-P 2yb'
loop_
_atom_site_label
_atom_site_type_symbol
_atom_site_fract_x
_atom_site_fract_y
_atom_site_fract_z
Y1 Y 0.0247 0.2500 0.1648
Ho1 Ho 0.2417 0.5019 0.5874
Ho2 Ho 0.3263 0.7500 0.2520
Ho3 Ho 0.3754 0.2500 0.0191
Co1 Co 0.0129 0.2500 0.7290
Co2 Co 0.4101 0.2500 0.3722
```